No. 1
13
Lattice="-3.0240 4.9428 4.8739 3.0240 -4.9428 4.8739 3.0240 4.9428 -4.8739" Properties=species:S:1:pos:R:3 comment="GGA-PBE ErMg5Cd7, relaxed" energy_ev_per_cell=-20.5 formation_energy_mev_per_atom=-122 density_kg_m3=6130 pbc="T T T"
Er 0.0000 0.0000 0.0000
Mg 3.0240 0.0000 2.1150
Mg -1.5022 2.5057 2.4489
Mg 1.5022 2.5057 2.4489
Mg -1.5022 7.3800 2.4489
Mg 1.5022 7.3800 2.4489
Cd 3.0240 2.1046 0.0405
Cd 0.0000 0.0000 3.2986
Cd 3.0240 -1.5161 4.8544
Cd 3.0240 1.5161 4.8544
Cd 0.0000 0.0000 6.3592
Cd 0.0000 4.9428 2.8166
Cd 0.0000 2.8383 4.9143

=====

No. 2
10
Lattice="6.9216 0.0000 0.0000 -3.4608 5.9943 0.0000 0.0000 0.0000 5.8952" Properties=species:S:1:pos:R:3 comment="GGA-PBE ErMgCd3, relaxed" energy_ev_per_cell=-18.2 formation_energy_mev_per_atom=-35 e_above_lowest_polymorph_ev_per_atom=0.161 density_kg_m3=7179 pbc="T T T"
Er 0.0000 3.9962 1.4738
Er 3.4608 1.9981 4.4214
Mg 0.0000 0.0000 0.0000
Mg 0.0000 0.0000 2.9476
Cd 0.0000 2.3561 4.4214
Cd -1.4204 4.8163 4.4214
Cd 2.0404 1.1781 1.4738
Cd 1.4204 4.8163 4.4214
Cd 4.8812 1.1781 1.4738
Cd 3.4608 3.6382 1.4738

=====

No. 3
6
Lattice="0.0000 4.1793 4.1793 4.1793 0.0000 4.1793 4.1793 4.1793 0.0000" Properties=species:S:1:pos:R:3 comment="GGA-PBE ErMg4Cd, relaxed" energy_ev_per_cell=-11.7 formation_energy_mev_per_atom=32 e_above_lowest_polymorph_ev_per_atom=0.093 density_kg_m3=4287 pbc="T T T"
Er 0.0000 0.0000 0.0000
Mg 3.1299 3.1299 3.1299
Mg 5.2287 5.2287 3.1299
Mg 5.2287 3.1299 5.2287
Mg 3.1299 5.2287 5.2287
Cd 6.2690 6.2690 6.2690

=====

No. 4
7
Lattice="5.2783 0.0000 0.0000 1.5784 5.7292 0.0000 0.8299 2.6521 5.7274" Properties=species:S:1:pos:R:3 comment="GGA-PBE ErMg2Cd4, relaxed" energy_ev_per_cell=-11.8 formation_energy_mev_per_atom=-52 density_kg_m3=6381 pbc="T T T"
Er 0.0000 0.0000 0.0000
Mg 2.2336 2.3996 0.7384
Mg 5.4530 5.9817 4.9890
Cd 0.4149 1.3260 2.8637
Cd 1.2041 4.1906 2.8637
Cd 3.5961 3.2361 4.0958
Cd 4.0904 5.1452 1.6316

=====

No. 5
10
Lattice="7.5243 -2.4468 0.0000 7.5243 2.4468 0.0000 -1.6134 0.0000 6.3492" Properties=species:S:1:pos:R:3 comment="GGA-PBE ErMgCd3, relaxed" energy_ev_per_cell=-19.8 formation_energy_mev_per_atom=-197 e_above_lowest_polymorph_ev_per_atom=0.000 density_kg_m3=7512 pbc="T T T"
Er 0.9677 0.0000 2.9825
Er 12.4675 0.0000 3.3668
Mg 3.9398 0.0000 1.2625
Mg 9.4954 0.0000 5.0867
Cd -0.1222 0.0000 5.9968
Cd 3.6202 0.0000 4.8047
Cd 6.8420 0.0000 1.7101
Cd 6.5932 0.0000 4.6392
Cd 9.8150 0.0000 1.5445
Cd 13.5574 0.0000 0.3524

=====

No. 6
9
Lattice="5.5381 -2.5458 0.0000 5.5381 2.5458 0.0000 -5.0575 0.0000 7.9199" Properties=species:S:1:pos:R:3 comment="GGA-PBE Er3Mg4Cd2, relaxed" energy_ev_per_cell=-23.3 formation_energy_mev_per_atom=-159 e_above_lowest_polymorph_ev_per_atom=0.000 density_kg_m3=6126 pbc="T T T"
Er 0.0000 0.0000 0.0000
Er 2.0116 0.0000 2.6418
Er 4.0070 0.0000 5.2782
Mg -1.3077 0.0000 3.0978
Mg -1.6509 0.0000 7.5037
Mg 7.6695 0.0000 0.4162
Mg 7.3263 0.0000 4.8221
Cd 0.6581 0.0000 5.7241
Cd 5.3605 0.0000 2.1958

=====

No. 7
20
Lattice="9.1939 0.0000 0.0000 0.0000 5.2969 0.0000 -3.7032 0.0000 10.9786" Properties=species:S:1:pos:R:3 comment="GGA-PBE Er6MgCd3, relaxed" energy_ev_per_cell=-66.6 formation_energy_mev_per_atom=-160 density_kg_m3=8480 pbc="T T T"
Er -1.1670 1.3242 4.5195
Er 0.7738 3.9726 1.9966
Er 2.2254 1.3242 0.0833
Er 0.1840 3.9726 8.7554
Er 2.1256 1.3242 3.6631
Er 1.4322 1.3242 6.8371
Er 4.0585 3.9726 4.1415
Er 3.3651 3.9726 7.3156
Er 5.3067 1.3242 2.2233
Er 3.2653 3.9726 10.8954
Er 4.7168 1.3242 8.9820
Er 6.6576 3.9726 6.4592
Mg 3.8768 3.9726 0.9908
Mg 1.6139 1.3242 9.9878
Cd -2.8831 3.9726 9.6819
Cd -1.5000 1.3242 7.9080
Cd 0.7522 3.9726 5.2347
Cd 4.7385 1.3242 5.7439
Cd 6.9907 3.9726 3.0707
Cd 8.3738 1.3242 1.2968

=====

No. 8
13
Lattice="-2.9429 4.9725 5.0042 2.9429 -4.9725 5.0042 2.9429 4.9725 -5.0042" Properties=species:S:1:pos:R:3 comment="GGA-PBE ErMg6Cd6, relaxed" energy_ev_per_cell=-21.0 formation_energy_mev_per_atom=-107 density_kg_m3=5598 pbc="T T T"
Er 0.0000 0.0000 0.0000
Mg 2.9429 0.0000 2.0740
Mg 0.0000 0.0000 3.4911
Mg 0.0000 3.4801 0.0000
Mg 0.0000 6.4650 0.0000
Mg 0.0000 0.0000 6.5172
Mg 0.0000 4.9725 2.9302
Cd 1.4715 2.4863 -2.5021
Cd 1.4715 -2.4863 2.5021
Cd 2.9429 2.1087 0.0000
Cd -1.4715 2.4863 2.5021
Cd 1.4715 2.4863 2.5021
Cd 0.0000 2.8638 5.0042

=====

No. 9
4
Lattice="0.0000 3.6502 3.6502 3.6502 0.0000 3.6502 3.6502 3.6502 0.0000" Properties=species:S:1:pos:R:3 comment="GGA-PBE NaErMgCd, relaxed" energy_ev_per_cell=-8.5 formation_energy_mev_per_atom=-15 density_kg_m3=5582 pbc="T T T"
Na 0.0000 0.0000 0.0000
Er 1.8251 1.8251 1.8251
Mg 5.4753 5.4753 5.4753
Cd 3.6502 3.6502 3.6502

=====

No. 10
4
Lattice="0.0000 3.8029 3.8029 3.8029 0.0000 3.8029 3.8029 3.8029 0.0000" Properties=species:S:1:pos:R:3 comment="GGA-PBE NdErMgCd, relaxed" energy_ev_per_cell=-12.6 formation_energy_mev_per_atom=-198 density_kg_m3=6766 pbc="T T T"
Nd 0.0000 0.0000 0.0000
Er 3.8029 3.8029 3.8029
Mg 1.9015 1.9015 1.9015
Cd 5.7044 5.7044 5.7044

=====

No. 11
20
Lattice="10.5651 0.0000 0.0000 0.0000 10.5651 0.0000 0.0000 0.0000 4.6918" Properties=species:S:1:pos:R:3 comment="GGA-PBE Nd2ErMg5Cd2, relaxed" energy_ev_per_cell=-51.0 formation_energy_mev_per_atom=-158 density_kg_m3=5086 pbc="T T T"
Nd 1.9008 3.3818 0.0000
Nd 3.3818 8.6643 0.0000
Nd 7.1833 1.9008 0.0000
Nd 8.6643 7.1833 0.0000
Er 0.0000 0.0000 0.0000
Er 5.2825 5.2825 0.0000
Mg 0.0000 5.2825 2.3459
Mg 0.6265 8.3484 2.3459
Mg 2.2167 0.6265 2.3459
Mg 3.0658 5.9090 2.3459
Mg 4.6561 3.0658 2.3459
Mg 5.2825 0.0000 2.3459
Mg 5.9090 7.4992 2.3459
Mg 7.4992 4.6561 2.3459
Mg 8.3484 9.9386 2.3459
Mg 9.9386 2.2167 2.3459
Cd 1.2179 6.5004 0.0000
Cd 4.0647 1.2179 0.0000
Cd 6.5004 9.3472 0.0000
Cd 9.3472 4.0647 0.0000

=====

No. 12
4
Lattice="3.7776 0.0000 0.0000 0.0000 3.7776 0.0000 0.0000 0.0000 7.7038" Properties=species:S:1:pos:R:3 comment="GGA-PBE NdErMgCd, relaxed" energy_ev_per_cell=-12.6 formation_energy_mev_per_atom=-197 density_kg_m3=6770 pbc="T T T"
Nd 0.0000 0.0000 0.0000
Er 0.0000 0.0000 3.8325
Mg 1.8888 1.8888 5.6699
Cd 1.8888 1.8888 2.0626